An optimized crystal structure of CuTc4Au. Source: Alexandria, functional GGA-PBE.

Lattice parameters (Å, degrees): 5.1252 5.1252 5.1252 60.00 60.00 60.00
Positions (direct):
Cu: 0.0000 0.0000 0.0000
Tc: 0.1247 0.6251 0.6251
Tc: 0.6251 0.1247 0.6251
Tc: 0.6251 0.6251 0.1247
Tc: 0.6251 0.6251 0.6251
Au: 0.2500 0.2500 0.2500

E = -7.559 eV/atom
Volume = 95.2 Å³/f.u.
Formation energy = 0.581 eV/atom
Total magnetization = 0.000 μB per formula unit
DOS at the Fermi energy = 9.080 states/eV/cell